1.
Entry from Alexandria: a geometry-optimized BaAgSnAu6 structure (PBE).

Properties
- formation enthalpy at 0 K (kcal/mol of atoms) = -1.12
- mass density (Mg/m³) = 10.50
- density of states at the Fermi level (states/eV/cell) = 15.113
- E (eV per atom) = -3.209
- crystal system = orthorhombic
- total magnetic moment (μB per cell) = 0.00

Cell lengths 7.097, 9.230, 14.934 Å; angles 90.00, 90.00, 90.00 degrees
Space group Imma (No. 74)
Inequivalent atoms, fractional coordinates:
Ba  0.000  0.250  0.100 x4
Ag  0.250  0.250  0.750 x4
Sn  0.000  0.000  0.500 x4
Au  0.000  0.250  0.381 x4
Au  0.000  0.250  0.886 x4
Au  0.211  0.005  0.656 x16

2.
Entry from Alexandria: a geometry-optimized TaNbTe6 structure (PBE).

Properties
- mass density (Mg/m³) = 6.86
- density of states at the Fermi level (states/eV/cell) = 5.870
- formation energy without anion corrections (meV/atom) = -105
- E (eV per atom) = -5.201
- crystal system = triclinic
- total magnetic moment (μB per cell) = 0.00

Cell lengths 6.570, 6.969, 7.110 Å; angles 68.52, 62.86, 62.34 degrees
Space group P-1 (No. 2)
Inequivalent atoms, fractional coordinates:
Ta  0.000  0.000  0.000 x1
Nb  0.500  0.500  0.500 x1
Te  0.113  0.380  0.825 x2
Te  0.185  0.882  0.324 x2
Te  0.443  0.754  0.752 x2

3.
Entry from Alexandria: a geometry-optimized MnZn3Si structure (PBE).

Properties
- mass density (Mg/m³) = 4.50
- density of states at the Fermi level (states/eV/cell) = 2.220
- formation energy without anion corrections (meV/atom) = 720
- E (eV per atom) = -2.963
- crystal system = cubic
- total magnetic moment (μB per cell) = 4.34

Cell lengths 4.690, 4.690, 4.690 Å; angles 90.00, 90.00, 90.00 degrees
Space group Pm-3m (No. 221)
Inequivalent atoms, fractional coordinates:
Mn  0.000  0.000  0.000 x1
Zn  0.000  0.500  0.500 x3
Si  0.500  0.500  0.500 x1